No. 1
NdBi3Rh2 GGA-PBE optimized geometry; formation energy from the elements = -305.3 meV per atom; space group = P-3m1, No. 164
1.0
5.7053 0.0000 0.0000
0.0000 8.0658 0.0000
0.0000 -4.0329 6.9852
Bi Nd Rh
6 2 4
Direct
0.7391 0.8339 0.6678
0.2609 0.1661 0.3322
0.7391 0.3322 0.1661
0.2609 0.1661 0.8339
0.2609 0.6678 0.8339
0.7391 0.8339 0.1661
0.2691 0.6667 0.3333
0.7309 0.3333 0.6667
0.0000 0.0000 0.5000
0.0000 0.0000 0.0000
0.0000 0.5000 0.0000
0.0000 0.5000 0.5000

---

No. 2
KNp2Te4 GGA-PBE optimized geometry; formation energy from raw total energies = -0.7352 eV per atom; space group = Cmcm, No. 63; energy above the most stable polymorph in this dataset = 0 meV per atom
1.0
4.4685 0.0000 0.0000
-2.2342 7.3535 0.0000
0.0000 0.0000 15.3930
Te Np K
8 4 2
Direct
0.7665 0.5331 0.1131
0.5000 0.0000 0.5000
0.2335 0.4669 0.6131
0.0798 0.1597 0.2500
0.7665 0.5331 0.3869
0.2335 0.4669 0.8869
0.5000 0.0000 0.0000
0.9202 0.8403 0.7500
0.1348 0.2695 0.4367
0.8652 0.7305 0.9367
0.8652 0.7305 0.5633
0.1348 0.2695 0.0633
0.3956 0.7913 0.2500
0.6044 0.2087 0.7500

---

No. 3
ZrTl2Os GGA-PBE optimized geometry; formation energy from the elements = 602.6 meV per atom; space group = R-3m, No. 166; energy above the most stable polymorph in this dataset = 442 meV per atom
1.0
9.6891 0.0141 0.0083
9.1615 3.1535 0.0083
9.1615 1.5395 2.7522
Tl Zr Os
2 1 1
Direct
0.4935 0.4935 0.4935
0.0065 0.0065 0.0065
0.2500 0.2500 0.2500
0.7500 0.7500 0.7500